First-principles (GGA-PBE) data for a geometry-optimized RbPmBeSe3 structure, as listed in Alexandria.

The calculation puts the density of states at the Fermi level at 0.00 states/eV per cell. The size of the total moment comes out at 0.00 μB/f.u. The space group is P2_1/m, No. 11. The total energy comes out at -56.35 eV per cell. The value obtained for the formation energy (no corrections) is -1.3797 eV per atom.

Cell and atoms, written as POSCAR:
```
RbPmBeSe3
1.0
9.693 0.000 0.000
0.000 4.116 0.000
-3.150 0.000 9.189
Rb Pm Be Se
2 2 2 6
direct
0.200 0.250 0.234
0.800 0.750 0.766
0.332 0.750 0.850
0.668 0.250 0.150
0.075 0.250 0.605
0.925 0.750 0.395
0.114 0.250 0.842
0.164 0.750 0.528
0.460 0.750 0.166
0.540 0.250 0.834
0.836 0.250 0.472
0.886 0.750 0.158
```